(1)
Entry from Alexandria via LeMat-Bulk: ZrCdSe after structural relaxation (GGA-PBEsol).

Output
As for the uncorrected energy: -16.02 eV/cell. The energy above the most stable polymorph in this dataset is 0 meV per atom. Its space group is I4mm (107). The energy relative to the elements, uncorrected comes out at -0.628 eV/atom.

Unit cell a=5.9483 b=5.9483 c=5.9483 alpha=146.98 beta=146.98 gamma=47.40
Element x y z (fractional)
1 Zr 0.0000 0.0000 0.0000
2 Cd 0.6907 0.6907 0.0000
3 Se 0.3840 0.3840 0.0000

(2)
Entry from Alexandria via LeMat-Bulk: CdSi3 after structural relaxation (GGA-PBEsol).

Output
As for the uncorrected energy: -16.43 eV/cell. The energy above the most stable polymorph in this dataset is 0 meV per atom. Its space group is Cmmm (65). The energy relative to the elements, uncorrected comes out at 0.502 eV/atom.

Unit cell a=5.3054 b=5.3054 c=2.7099 alpha=90.00 beta=90.00 gamma=117.88
Element x y z (fractional)
1 Cd 0.0000 0.0000 0.0000
2 Si 0.0000 0.5000 0.5000
3 Si 0.5000 0.0000 0.5000
4 Si 0.5000 0.5000 0.0000

(3)
Entry from Alexandria via LeMat-Bulk: CdSi3 after structural relaxation (GGA-PBEsol).

Output
As for the uncorrected energy: -32.20 eV/cell. The energy above the most stable polymorph in this dataset is 82 meV per atom. Its space group is Pm-3n (223). The energy relative to the elements, uncorrected comes out at 0.584 eV/atom.

Unit cell a=5.1684 b=5.1684 c=5.1684 alpha=90.00 beta=90.00 gamma=90.00
Element x y z (fractional)
1 Cd 0.0000 0.0000 0.0000
2 Cd 0.5000 0.5000 0.5000
3 Si 0.0000 0.2500 0.5000
4 Si 0.0000 0.7500 0.5000
5 Si 0.2500 0.5000 0.0000
6 Si 0.5000 0.0000 0.2500
7 Si 0.5000 0.0000 0.7500
8 Si 0.7500 0.5000 0.0000

(4)
Entry from Alexandria via LeMat-Bulk: CdSi2 after structural relaxation (GGA-PBEsol).

Output
As for the uncorrected energy: -10.74 eV/cell. The energy above the most stable polymorph in this dataset is 160 meV per atom. Its space group is Fm-3m (225). The energy relative to the elements, uncorrected comes out at 0.651 eV/atom.

Unit cell a=4.4288 b=4.4288 c=4.4288 alpha=60.00 beta=60.00 gamma=60.00
Element x y z (fractional)
1 Cd 0.0000 0.0000 0.0000
2 Si 0.2500 0.2500 0.2500
3 Si 0.7500 0.7500 0.7500

(5)
Entry from Alexandria via LeMat-Bulk: CdSi2 after structural relaxation (GGA-PBEsol).

Output
As for the uncorrected energy: -33.65 eV/cell. The energy above the most stable polymorph in this dataset is 0 meV per atom. Its space group is P-31m (162). The energy relative to the elements, uncorrected comes out at 0.491 eV/atom.

Unit cell a=6.7266 b=6.7266 c=5.8739 alpha=90.00 beta=90.00 gamma=120.00
Element x y z (fractional)
1 Cd 0.0000 0.0000 0.0000
2 Cd 0.3333 0.6667 0.5000
3 Cd 0.6667 0.3333 0.5000
4 Si 0.0000 0.2478 0.6493
5 Si 0.0000 0.7522 0.3507
6 Si 0.2478 0.0000 0.6493
7 Si 0.2478 0.2478 0.3507
8 Si 0.7522 0.0000 0.3507
9 Si 0.7522 0.7522 0.6493

(6)
Entry from Alexandria via LeMat-Bulk: Cd2Si after structural relaxation (GGA-PBEsol).

Output
As for the uncorrected energy: -14.21 eV/cell. Its space group is P4_2/mnm (136). The energy relative to the elements, uncorrected comes out at 0.345 eV/atom.

Unit cell a=5.9760 b=5.9760 c=4.1068 alpha=90.00 beta=90.00 gamma=90.00
Element x y z (fractional)
1 Cd 0.1976 0.1976 0.0000
2 Cd 0.3024 0.6976 0.5000
3 Cd 0.6976 0.3024 0.5000
4 Cd 0.8024 0.8024 0.0000
5 Si 0.0000 0.0000 0.5000
6 Si 0.5000 0.5000 0.0000

(7)
Entry from Alexandria via LeMat-Bulk: Cd2Si after structural relaxation (GGA-PBEsol).

Output
As for the uncorrected energy: -14.82 eV/cell. Its space group is Cmcm (63). The energy relative to the elements, uncorrected comes out at 0.244 eV/atom.

Unit cell a=5.8495 b=5.8495 c=3.6611 alpha=90.00 beta=90.00 gamma=90.40
Element x y z (fractional)
1 Cd 0.0483 0.3106 0.2500
2 Cd 0.3106 0.0483 0.7500
3 Cd 0.6894 0.9517 0.2500
4 Cd 0.9517 0.6894 0.7500
5 Si 0.4107 0.5893 0.7500
6 Si 0.5893 0.4107 0.2500

(8)
Entry from Alexandria via LeMat-Bulk: Cd3Si4 after structural relaxation (GGA-PBEsol).

Output
As for the uncorrected energy: -23.43 eV/cell. Its space group is P-43m (215). The energy relative to the elements, uncorrected comes out at 0.450 eV/atom.

Unit cell a=5.3280 b=5.3280 c=5.3280 alpha=90.00 beta=90.00 gamma=90.00
Element x y z (fractional)
1 Cd 0.0000 0.0000 0.5000
2 Cd 0.0000 0.5000 0.0000
3 Cd 0.5000 0.0000 0.0000
4 Si 0.3370 0.3370 0.3370
5 Si 0.3370 0.6630 0.6630
6 Si 0.6630 0.3370 0.6630
7 Si 0.6630 0.6630 0.3370

(9)
Entry from Alexandria via LeMat-Bulk: Cd3Si2 after structural relaxation (GGA-PBEsol).

Output
As for the uncorrected energy: -13.32 eV/cell. Its space group is R-3m (166). The energy relative to the elements, uncorrected comes out at 0.353 eV/atom.

Unit cell a=10.6949 b=10.6949 c=10.6949 alpha=17.52 beta=17.52 gamma=17.52
Element x y z (fractional)
1 Cd 0.0000 0.0000 0.0000
2 Cd 0.2028 0.2028 0.2028
3 Cd 0.7972 0.7972 0.7972
4 Si 0.3986 0.3986 0.3986
5 Si 0.6014 0.6014 0.6014

(10)
Entry from Alexandria via LeMat-Bulk: Cd3Si5 after structural relaxation (GGA-PBEsol).

Output
As for the uncorrected energy: -28.50 eV/cell. Its space group is Cmmm (65). The energy relative to the elements, uncorrected comes out at 0.478 eV/atom.

Unit cell a=6.1359 b=6.1359 c=3.8111 alpha=90.00 beta=90.00 gamma=94.95
Element x y z (fractional)
1 Cd 0.0000 0.0000 0.0000
2 Cd 0.2442 0.7558 0.5000
3 Cd 0.7558 0.2442 0.5000
4 Si 0.0000 0.5000 0.0000
5 Si 0.2803 0.2803 0.5000
6 Si 0.5000 0.0000 0.0000
7 Si 0.5000 0.5000 0.0000
8 Si 0.7197 0.7197 0.5000

(11)
Entry from Alexandria via LeMat-Bulk: SrCdSi2 after structural relaxation (GGA-PBEsol).

Output
As for the uncorrected energy: -14.53 eV/cell. Its space group is Immm (71). The energy relative to the elements, uncorrected comes out at 0.001 eV/atom.

Unit cell a=5.1599 b=5.1599 c=5.1599 alpha=127.28 beta=106.85 gamma=95.99
Element x y z (fractional)
1 Sr 0.0000 0.0000 0.0000
2 Cd 0.5000 0.5000 0.0000
3 Si 0.3221 0.8221 0.5000
4 Si 0.6779 0.1779 0.5000

(12)
Entry from Alexandria via LeMat-Bulk: SrCd2SiW after structural relaxation (GGA-PBEsol).

Output
As for the uncorrected energy: -22.18 eV/cell. Its space group is P4/mmm (123). The energy relative to the elements, uncorrected comes out at 0.322 eV/atom.

Unit cell a=5.2348 b=5.2348 c=4.7484 alpha=90.00 beta=90.00 gamma=90.00
Element x y z (fractional)
1 Sr 0.0000 0.0000 0.0000
2 Cd 0.0000 0.5000 0.5000
3 Cd 0.5000 0.0000 0.5000
4 Si 0.5000 0.5000 0.0000
5 W 0.5000 0.5000 0.5000

(13)
Entry from Alexandria via LeMat-Bulk: TaCdSi2 after structural relaxation (GGA-PBEsol).

Output
As for the uncorrected energy: -22.68 eV/cell. Its space group is F-43m (216). The energy relative to the elements, uncorrected comes out at 0.640 eV/atom.

Unit cell a=4.5542 b=4.5542 c=4.5542 alpha=60.00 beta=60.00 gamma=60.00
Element x y z (fractional)
1 Ta 0.0000 0.0000 0.0000
2 Cd 0.7500 0.7500 0.7500
3 Si 0.2500 0.2500 0.2500
4 Si 0.5000 0.5000 0.5000

(14)
Entry from Alexandria via LeMat-Bulk: TaCdSi2 after structural relaxation (GGA-PBEsol).

Output
As for the uncorrected energy: -24.88 eV/cell. Its space group is R-3m (166). The energy relative to the elements, uncorrected comes out at 0.091 eV/atom.

Unit cell a=8.8160 b=8.8160 c=8.8160 alpha=19.56 beta=19.56 gamma=19.56
Element x y z (fractional)
1 Ta 0.0000 0.0000 0.0000
2 Cd 0.5000 0.5000 0.5000
3 Si 0.2553 0.2553 0.2553
4 Si 0.7447 0.7447 0.7447

(15)
Entry from Alexandria via LeMat-Bulk: TaCdSi2 after structural relaxation (GGA-PBEsol).

Output
As for the uncorrected energy: -24.65 eV/cell. Its space group is I-4m2 (119). The energy relative to the elements, uncorrected comes out at 0.148 eV/atom.

Unit cell a=5.2418 b=5.2418 c=5.2418 alpha=137.83 beta=137.83 gamma=61.16
Element x y z (fractional)
1 Ta 0.0000 0.0000 0.0000
2 Cd 0.2500 0.7500 0.5000
3 Si 0.5000 0.5000 0.0000
4 Si 0.7500 0.2500 0.5000

| no. | Fermi-level density of states (states/eV per cell) |
| --- | --- |
| 1 | 2.38 |
| 2 | 1.76 |
| 3 | 3.59 |
| 4 | 1.03 |
| 5 | 2.70 |
| 6 | 1.77 |
| 7 | 2.10 |
| 8 | 4.23 |
| 9 | 1.91 |
| 10 | 3.57 |
| 11 | 1.79 |
| 12 | 3.61 |
| 13 | 3.77 |
| 14 | 1.83 |
| 15 | 2.78 |